P2HWS: optimized geometry, PBE.

The structure belongs to space group P4/mmm (No. 123); the cell edges are 3.600, 3.600 and 4.784 Å and the angles 90.00°, 90.00° and 90.00°. The asymmetric unit holds P at (0.000, 0.500, 0.000), H at (0.000, 0.000, 0.000), W at (0.500, 0.500, 0.500) and S at (0.000, 0.000, 0.500).

The distance to the lowest polymorph of the same formula is 36.0 meV/atom.

BaCuP2: optimized geometry, PBE.

The structure belongs to space group F-43m (No. 216); the cell edges are 7.035, 7.035 and 7.035 Å and the angles 90.00°, 90.00° and 90.00°. The asymmetric unit holds Ba at (0.000, 0.000, 0.000), Cu at (0.250, 0.250, 0.750), P at (0.000, 0.000, 0.500) and P at (0.250, 0.250, 0.250).

The calculation puts the formation energy at 0.315 eV/atom.

Pm7Si3H2: optimized geometry, PBE.

The structure belongs to space group Cmmm (No. 65); the cell edges are 4.778, 25.255 and 4.449 Å and the angles 90.00°, 90.00° and 90.00°. The asymmetric unit holds Pm at (0.000, 0.000, 0.000), Pm at (0.000, 0.095, 0.500), Pm at (0.000, 0.209, 0.000), Pm at (0.000, 0.391, 0.000), Si at (0.000, 0.310, 0.500), Si at (0.000, 0.500, 0.500) and H at (0.000, 0.115, 0.000).

The total energy is -120.9 eV per cell.

LiPaTe2: optimized geometry, PBE.

The structure belongs to space group R3m (No. 160, hexagonal axes); the cell edges are 4.1498, 4.1498 and 23.3513 Å and the angles 90.00°, 90.00° and 120.00°. The asymmetric unit holds Li at (0.0000, 0.0000, 0.0000), Pa at (0.0000, 0.0000, 0.1676), Te at (0.0000, 0.0000, 0.5864) and Te at (0.0000, 0.0000, 0.7490).

The distance to the lowest polymorph of the same formula is 57.3 meV/atom.

Respective spin magnetization values: 0.0 0.0 0.0 1.8 μB per formula unit.
Respective calculated volume values: 62 348 537 348 Å³/cell.